# 1
# SrCa4H10, optimized geometry, DFT GGA-PBE
# E_tot = -3.43 eV per atom
# Fermi-level density of states = 0.09 states/eV per cell
data_SrCa4H10
_chemical_formula_sum 'Sr3 Ca12 H30'
_cell_length_a 3.8871
_cell_length_b 3.8871
_cell_length_c 47.4482
_cell_angle_alpha 90.00
_cell_angle_beta 90.00
_cell_angle_gamma 120.00
_space_group_name_H-M_alt 'R -3 m'
_space_group_IT_number 166
_space_group_name_Hall '-R 3 2"'
loop_
_atom_site_label
_atom_site_type_symbol
_atom_site_fract_x
_atom_site_fract_y
_atom_site_fract_z
Sr1 Sr 0.0000 0.0000 0.0000
Ca1 Ca 0.0000 0.0000 0.1991
Ca2 Ca 0.0000 0.0000 0.4026
H1 H 0.0000 0.0000 0.0532
H2 H 0.0000 0.0000 0.1500
H3 H 0.0000 0.0000 0.2482
H4 H 0.0000 0.0000 0.3530
H5 H 0.0000 0.0000 0.4516

# 2
# ZrPb2, optimized geometry, DFT GGA-PBE
# ΔH_f (0 K) = 0.31 eV/atom
# Fermi-level density of states = 14.32 states/eV per cell
data_ZrPb2
_chemical_formula_sum 'Zr4 Pb8'
_cell_length_a 7.160
_cell_length_b 7.160
_cell_length_c 7.160
_cell_angle_alpha 90.00
_cell_angle_beta 90.00
_cell_angle_gamma 90.00
_space_group_name_H-M_alt 'F m -3 m'
_space_group_IT_number 225
_space_group_name_Hall '-F 4 2 3'
loop_
_atom_site_label
_atom_site_type_symbol
_atom_site_fract_x
_atom_site_fract_y
_atom_site_fract_z
Zr1 Zr 0.000 0.000 0.000
Pb1 Pb 0.250 0.250 0.250

# 3
# PrHoPt4, optimized geometry, DFT GGA-PBE
# ΔH_f (0 K) = -1.08 eV/atom
# Fermi-level density of states = 4.12 states/eV per cell
data_PrHoPt4
_chemical_formula_sum 'Pr4 Ho4 Pt16'
_cell_length_a 7.754
_cell_length_b 7.754
_cell_length_c 7.754
_cell_angle_alpha 90.00
_cell_angle_beta 90.00
_cell_angle_gamma 90.00
_space_group_name_H-M_alt 'F -4 3 m'
_space_group_IT_number 216
_space_group_name_Hall 'F -4 2 3'
loop_
_atom_site_label
_atom_site_type_symbol
_atom_site_fract_x
_atom_site_fract_y
_atom_site_fract_z
Pr1 Pr 0.000 0.000 0.000
Ho1 Ho 0.250 0.250 0.250
Pt1 Pt 0.125 0.125 0.625

# 4
# Zr3CdCo, optimized geometry, DFT GGA-PBE
# ΔH_f (0 K) = -0.09 eV/atom
# Fermi-level density of states = 10.73 states/eV per cell
# distance to the lowest polymorph of the same formula = 0.000 eV/atom
data_Zr3CdCo
_chemical_formula_sum 'Zr6 Cd2 Co2'
_cell_length_a 8.063
_cell_length_b 3.481
_cell_length_c 8.140
_cell_angle_alpha 90.00
_cell_angle_beta 114.96
_cell_angle_gamma 90.00
_space_group_name_H-M_alt 'P 1 21/m 1'
_space_group_IT_number 11
loop_
_space_group_symop_operation_xyz
'x,y,z'
'-x,-y,-z'
'-x,y+1/2,-z'
'x,-y+1/2,z'
loop_
_atom_site_label
_atom_site_type_symbol
_atom_site_fract_x
_atom_site_fract_y
_atom_site_fract_z
Zr1 Zr 0.025 0.250 0.209
Zr2 Zr 0.322 0.750 0.563
Zr3 Zr 0.333 0.250 0.891
Cd1 Cd 0.332 0.750 0.199
Co1 Co 0.074 0.250 0.589

# 5
# HfTi2Te, optimized geometry, DFT GGA-PBE
# Fermi-level density of states = 21.82 states/eV per cell
# uncorrected formation energy = 51 kJ/mol of formula units
data_HfTi2Te
_chemical_formula_sum 'Hf4 Ti8 Te4'
_cell_length_a 4.099
_cell_length_b 4.099
_cell_length_c 19.976
_cell_angle_alpha 90.00
_cell_angle_beta 90.00
_cell_angle_gamma 90.00
_space_group_name_H-M_alt 'I -4 2 d'
_space_group_IT_number 122
_space_group_name_Hall 'I -4 2bw'
loop_
_atom_site_label
_atom_site_type_symbol
_atom_site_fract_x
_atom_site_fract_y
_atom_site_fract_z
Hf1 Hf 0.000 0.000 0.000
Ti1 Ti 0.244 0.250 0.625
Te1 Te 0.000 0.000 0.500

# 6
# NdPaIrRu, optimized geometry, DFT GGA-PBE
# ΔH_f (0 K) = -0.39 eV/atom
# Fermi-level density of states = 15.84 states/eV per cell
data_NdPaIrRu
_chemical_formula_sum 'Nd4 Pa4 Ir4 Ru4'
_cell_length_a 6.964
_cell_length_b 6.964
_cell_length_c 6.964
_cell_angle_alpha 90.00
_cell_angle_beta 90.00
_cell_angle_gamma 90.00
_space_group_name_H-M_alt 'F -4 3 m'
_space_group_IT_number 216
_space_group_name_Hall 'F -4 2 3'
loop_
_atom_site_label
_atom_site_type_symbol
_atom_site_fract_x
_atom_site_fract_y
_atom_site_fract_z
Nd1 Nd 0.000 0.000 0.000
Pa1 Pa 0.000 0.000 0.500
Ir1 Ir 0.250 0.250 0.750
Ru1 Ru 0.250 0.250 0.250

# 7
# TlPtN2, optimized geometry, DFT GGA-PBE
# Fermi-level density of states = 7.77 states/eV per cell
# uncorrected formation energy = 446 kJ/mol of formula units
# distance to the lowest polymorph of the same formula = 0.322 eV/atom
data_TlPtN2
_chemical_formula_sum 'Tl3 Pt3 N6'
_cell_length_a 3.4391
_cell_length_b 3.4391
_cell_length_c 19.0563
_cell_angle_alpha 90.00
_cell_angle_beta 90.00
_cell_angle_gamma 120.00
_space_group_name_H-M_alt 'R -3 m'
_space_group_IT_number 166
_space_group_name_Hall '-R 3 2"'
loop_
_atom_site_label
_atom_site_type_symbol
_atom_site_fract_x
_atom_site_fract_y
_atom_site_fract_z
Tl1 Tl 0.0000 0.0000 0.0000
Pt1 Pt 0.0000 0.0000 0.5000
N1 N 0.0000 0.0000 0.4022

# 8
# SrTcOs2, optimized geometry, DFT GGA-PBE
# ΔH_f (0 K) = 1.15 eV/atom
# Fermi-level density of states = 5.06 states/eV per cell
# distance to the lowest polymorph of the same formula = 0.539 eV/atom
data_SrTcOs2
_chemical_formula_sum 'Sr1 Tc1 Os2'
_cell_length_a 4.853
_cell_length_b 4.853
_cell_length_c 2.980
_cell_angle_alpha 90.00
_cell_angle_beta 90.00
_cell_angle_gamma 90.00
_space_group_name_H-M_alt 'P 4/m m m'
_space_group_IT_number 123
_space_group_name_Hall '-P 4 2'
loop_
_atom_site_label
_atom_site_type_symbol
_atom_site_fract_x
_atom_site_fract_y
_atom_site_fract_z
Sr1 Sr 0.000 0.000 0.000
Tc1 Tc 0.500 0.500 0.000
Os1 Os 0.000 0.500 0.500

# 9
# La3Ce2S8, optimized geometry, DFT GGA-PBE
# Fermi-level density of states = 19.82 states/eV per cell
# uncorrected formation energy = -2442 kJ/mol of formula units
# distance to the lowest polymorph of the same formula = 0.000 eV/atom
data_La3Ce2S8
_chemical_formula_sum 'La6 Ce4 S16'
_cell_length_a 14.444
_cell_length_b 8.237
_cell_length_c 6.971
_cell_angle_alpha 90.00
_cell_angle_beta 110.93
_cell_angle_gamma 90.00
_space_group_name_H-M_alt 'C 1 2/m 1'
_space_group_IT_number 12
loop_
_space_group_symop_operation_xyz
'x,y,z'
'-x,-y,-z'
'-x,y,-z'
'x,-y,z'
'x+1/2,y+1/2,z'
'-x+1/2,-y+1/2,-z'
'-x+1/2,y+1/2,-z'
'x+1/2,-y+1/2,z'
loop_
_atom_site_label
_atom_site_type_symbol
_atom_site_fract_x
_atom_site_fract_y
_atom_site_fract_z
La1 La 0.000 0.000 0.000
La2 La 0.000 0.263 0.500
Ce1 Ce 0.233 0.500 0.157
S1 S 0.107 0.500 0.365
S2 S 0.120 0.000 0.442
S3 S 0.131 0.225 0.916

# 10
# Zr3PbI, optimized geometry, DFT GGA-PBE
# Fermi-level density of states = 10.45 states/eV per cell
# uncorrected formation energy = 385 kJ/mol of formula units
# distance to the lowest polymorph of the same formula = 0.000 eV/atom
data_Zr3PbI
_chemical_formula_sum 'Zr3 Pb1 I1'
_cell_length_a 5.269
_cell_length_b 5.269
_cell_length_c 5.269
_cell_angle_alpha 90.00
_cell_angle_beta 90.00
_cell_angle_gamma 90.00
_space_group_name_H-M_alt 'P m -3 m'
_space_group_IT_number 221
_space_group_name_Hall '-P 4 2 3'
loop_
_atom_site_label
_atom_site_type_symbol
_atom_site_fract_x
_atom_site_fract_y
_atom_site_fract_z
Zr1 Zr 0.000 0.000 0.500
Pb1 Pb 0.500 0.500 0.500
I1 I 0.000 0.000 0.000

# 11
# TeAsSI2, optimized geometry, DFT GGA-PBE
# Fermi-level density of states = 5.43 states/eV per cell
# uncorrected formation energy = 340 kJ/mol of formula units
# distance to the lowest polymorph of the same formula = 0.000 eV/atom
data_TeAsSI2
_chemical_formula_sum 'Te1 As1 S1 I2'
_cell_length_a 5.664
_cell_length_b 5.664
_cell_length_c 5.618
_cell_angle_alpha 90.00
_cell_angle_beta 90.00
_cell_angle_gamma 90.00
_space_group_name_H-M_alt 'P 4/m m m'
_space_group_IT_number 123
_space_group_name_Hall '-P 4 2'
loop_
_atom_site_label
_atom_site_type_symbol
_atom_site_fract_x
_atom_site_fract_y
_atom_site_fract_z
Te1 Te 0.000 0.000 0.000
As1 As 0.000 0.000 0.500
S1 S 0.500 0.500 0.000
I1 I 0.000 0.500 0.500

# 12
# ScNiSbRh2, optimized geometry, DFT GGA-PBE
# Fermi-level density of states = 5.40 states/eV per cell
# uncorrected formation energy = 299 kJ/mol of formula units
data_ScNiSbRh2
_chemical_formula_sum 'Sc1 Ni1 Sb1 Rh2'
_cell_length_a 4.688
_cell_length_b 4.688
_cell_length_c 4.490
_cell_angle_alpha 90.00
_cell_angle_beta 90.00
_cell_angle_gamma 90.00
_space_group_name_H-M_alt 'P 4/m m m'
_space_group_IT_number 123
_space_group_name_Hall '-P 4 2'
loop_
_atom_site_label
_atom_site_type_symbol
_atom_site_fract_x
_atom_site_fract_y
_atom_site_fract_z
Sc1 Sc 0.000 0.000 0.000
Ni1 Ni 0.000 0.000 0.500
Sb1 Sb 0.500 0.500 0.500
Rh1 Rh 0.000 0.500 0.000